(1)
The following is a PBE-GGA calculation of an optimized crystal structure of Sr2AlAu, from Alexandria.

Unit cell a=3.698 b=3.698 c=9.075 alpha=90.00 beta=90.00 gamma=90.00
Element x y z (fractional)
Sr 0.000 0.000 0.924
Sr 0.500 0.500 0.323
Au 0.500 0.500 0.684
Al 0.000 0.000 0.569

Computed properties:
**Space-group type**: P4mm
**Formation energy from the elements**: -1.2 eV/f.u.

(2)
The following is a PBE-GGA calculation of an optimized crystal structure of PmCuAuO4, from Alexandria.

Unit cell a=6.250 b=7.264 c=7.413 alpha=120.68 beta=90.00 gamma=115.48
Element x y z (fractional)
O 0.281 0.562 0.706
Au 0.000 0.500 0.500
O 0.281 0.562 0.357
O 0.757 0.069 0.785
O 0.312 0.069 0.785
O 0.688 0.931 0.215
Pm 0.500 0.000 0.000
Cu 0.947 0.894 0.197
Cu 0.053 0.106 0.803
O 0.243 0.931 0.215
Au 0.500 0.500 0.500
O 0.719 0.438 0.643
O 0.719 0.438 0.294
Pm 0.500 0.000 0.500

Computed properties:
**Space-group type**: Imma
**Uncorrected formation energy**: -1.242 eV/atom

(3)
The following is a PBE-GGA calculation of an optimized crystal structure of Pu2PdRh, from Alexandria.

Unit cell a=3.399 b=3.399 c=7.246 alpha=90.00 beta=90.00 gamma=90.00
Element x y z (fractional)
Pu 0.000 0.000 0.761
Rh 0.500 0.500 0.000
Pd 0.500 0.500 0.500
Pu 0.000 0.000 0.239

Computed properties:
**Space-group type**: P4/mmm
**Formation energy from the elements**: -1.7 eV/f.u.